# 1
! PBEsol TeOs2W, optimized geometry; values from VASP
&SYSTEM
  ibrav = 0, nat = 4, ntyp = 3
/
ATOMIC_SPECIES
Os 190.23 Os.upf
Te 127.60 Te.upf
W 183.84 W.upf
ATOMIC_POSITIONS angstrom
Os 1.466 0.846 2.099
Os 4.397 2.539 6.611
Te 2.931 1.692 4.355
W 0.000 0.000 0.000
CELL_PARAMETERS angstrom
2.931 0.000 0.000
1.466 2.539 0.000
1.466 0.846 8.710
! Space group: No. 166
! Density of states at the Fermi level in states/eV/cell: 3.1
! Total energy in eV per atom: -9.86
! ΔE_f (raw) in eV per atom: 0.58

***

# 2
! PBEsol ZrPt5, optimized geometry; values from VASP
&SYSTEM
  ibrav = 0, nat = 6, ntyp = 2
/
ATOMIC_SPECIES
Zr 91.22 Zr.upf
Pt 195.08 Pt.upf
ATOMIC_POSITIONS angstrom
Zr -0.844 -1.807 1.095
Pt 1.057 -1.008 -0.850
Pt -0.904 -1.273 -2.798
Pt 2.907 -0.638 1.186
Pt 1.657 -3.106 0.878
Pt -0.283 -3.429 -1.150
CELL_PARAMETERS angstrom
-1.687 -3.615 2.190
-1.380 -1.945 -4.274
4.441 -0.975 1.812
! Space group: No. 189
! Density of states at the Fermi level in states/eV/cell: 4.0
! Total energy in eV per atom: -7.97
! ΔH_f (0 K) in eV per atom: -0.655